Record 1
Entry from Alexandria: a PBEsol-optimized structure of BaSeCl2 (SCAN).

a = 4.260 Å, b = 4.260 Å, c = 6.378 Å
α = 109.51°, β = 109.51°, γ = 90.00°
Fractional coordinates of all 4 atoms:
1 Ba 0.250 0.750 0.500
2 Se 0.500 0.500 0.000
3 Cl 0.000 0.000 0.000
4 Cl 0.750 0.250 0.500

## Properties
* SG: I-4m2, No. 119
* polymorph energy (0 for the lowest one): 0.004 eV per atom
* ΔE_f (raw): -1.495 eV/atom

Record 2
Entry from Alexandria: a PBEsol-optimized structure of SiMo2Pb (SCAN).

a = 3.253 Å, b = 3.253 Å, c = 6.425 Å
α = 90.00°, β = 90.00°, γ = 90.00°
Fractional coordinates of all 4 atoms:
1 Mo 0.000 0.000 0.972
2 Mo 0.500 0.500 0.218
3 Pb 0.000 0.000 0.498
4 Si 0.500 0.500 0.813

## Properties
* SG: P4mm, No. 99
* polymorph energy (0 for the lowest one): 0.000 eV per atom
* ΔE_f (raw): 0.210 eV/atom

Record 3
Entry from Alexandria: a PBEsol-optimized structure of CaCuW (SCAN).

a = 2.829 Å, b = 2.829 Å, c = 6.785 Å
α = 102.03°, β = 102.03°, γ = 90.00°
Fractional coordinates of all 3 atoms:
1 Ca 0.005 0.005 0.011
2 Cu 0.682 0.682 0.364
3 W 0.313 0.313 0.625

## Properties
* energy of formation: 671 meV per atom
* SG: I4mm, No. 107

Record 4
Entry from Alexandria: a PBEsol-optimized structure of Li4V3Ni3W2O16 (SCAN).

a = 5.780 Å, b = 5.780 Å, c = 9.630 Å
α = 90.29°, β = 90.29°, γ = 59.81°
Fractional coordinates of all 28 atoms:
1 Li 0.660 0.660 0.899
2 Li 0.003 0.003 0.987
3 Li 0.001 0.001 0.490
4 Li 0.332 0.332 0.406
5 V 0.828 0.356 0.219
6 V 0.356 0.828 0.219
7 V 0.177 0.177 0.727
8 Ni 0.828 0.828 0.208
9 Ni 0.657 0.168 0.712
10 Ni 0.168 0.657 0.712
11 W 0.669 0.669 0.496
12 W 0.339 0.339 0.989
13 O 0.833 0.342 0.590
14 O 0.518 0.518 0.347
15 O 0.659 0.659 0.100
16 O 0.006 0.006 0.297
17 O 0.008 0.008 0.797
18 O 0.342 0.833 0.590
19 O 0.960 0.512 0.347
20 O 0.512 0.960 0.347
21 O 0.175 0.175 0.100
22 O 0.831 0.831 0.585
23 O 0.472 0.030 0.854
24 O 0.030 0.472 0.854
25 O 0.318 0.318 0.607
26 O 0.662 0.180 0.090
27 O 0.476 0.476 0.847
28 O 0.180 0.662 0.090

## Properties
* SG: Cm, No. 8
* ΔE_f (raw): -2.206 eV/atom

Record 5
Entry from Alexandria: a PBEsol-optimized structure of FeTcPb2 (SCAN).

a = 3.271 Å, b = 4.582 Å, c = 5.473 Å
α = 101.67°, β = 90.00°, γ = 110.91°
Fractional coordinates of all 4 atoms:
1 Fe 0.500 0.000 0.000
2 Pb 0.751 0.501 0.752
3 Pb 0.249 0.499 0.248
4 Tc 0.000 0.000 0.500

## Properties
* energy of formation: 783 meV per atom
* SG: C2/m, No. 12
* polymorph energy (0 for the lowest one): 0.446 eV per atom

Record 6
Entry from Alexandria: a PBEsol-optimized structure of ReAs2Au (SCAN).

a = 3.154 Å, b = 3.948 Å, c = 5.242 Å
α = 90.00°, β = 90.00°, γ = 90.00°
Fractional coordinates of all 4 atoms:
1 Re 0.500 0.500 0.791
2 As 0.000 0.000 0.947
3 As 0.500 0.500 0.299
4 Au 0.000 0.000 0.464

## Properties
* energy of formation: 412 meV per atom
* SG: Pmm2, No. 25
* polymorph energy (0 for the lowest one): 0.007 eV per atom

Record 7
Entry from Alexandria: a PBEsol-optimized structure of Ho2In (SCAN).

a = 5.277 Å, b = 5.277 Å, c = 6.571 Å
α = 90.00°, β = 90.00°, γ = 120.00°
Fractional coordinates of all 6 atoms:
1 Ho 0.333 0.667 0.750
2 Ho 0.667 0.333 0.250
3 Ho 0.000 0.000 0.000
4 Ho 0.000 0.000 0.500
5 In 0.667 0.333 0.750
6 In 0.333 0.667 0.250

## Properties
* energy of formation: -482 meV per atom
* SG: P6_3/mmc, No. 194

Record 8
Entry from Alexandria: a PBEsol-optimized structure of Mg2AlPt (SCAN).

a = 3.022 Å, b = 3.022 Å, c = 9.233 Å
α = 80.58°, β = 80.58°, γ = 60.00°
Fractional coordinates of all 4 atoms:
1 Al 0.760 0.760 0.719
2 Mg 0.005 0.005 0.986
3 Mg 0.240 0.240 0.281
4 Pt 0.495 0.495 0.514

## Properties
* energy of formation: -393 meV per atom
* SG: R3m, No. 160